1.
## ZnS (PBE-GGA)

Data for ZnS after structural relaxation.

V	19.97	A^3/atom
symmetry	R3m (160)

a = 3.836 Å, b = 3.836 Å, c = 43.936 Å
α = 87.50°, β = 92.50°, γ = 120.00°
Sites, in units of the cell vectors:
S1 0.911 0.089 0.732
S2 0.673 0.327 0.018
S3 0.363 0.637 0.089
S4 0.625 0.375 0.875
S5 0.839 0.161 0.518
S6 0.554 0.446 0.661
S7 0.482 0.518 0.446
S8 0.411 0.589 0.232
S9 0.054 0.946 0.161
S10 0.768 0.232 0.304
S11 0.268 0.732 0.804
S12 0.125 0.875 0.375
S13 0.982 0.018 0.946
S14 0.196 0.804 0.589
Zn1 0.857 0.143 0.571
Zn2 0.286 0.714 0.857
Zn3 0.690 0.310 0.071
Zn4 0.929 0.071 0.786
Zn5 0.500 0.500 0.500
Zn6 0.214 0.786 0.643
Zn7 0.143 0.857 0.429
Zn8 0.429 0.571 0.286
Zn9 0.571 0.429 0.714
Zn10 0.643 0.357 0.929
Zn11 0.381 0.619 0.143
Zn12 0.000 0.000 0.000
Zn13 0.071 0.929 0.214
Zn14 0.786 0.214 0.357



2.
## GdDyAg2 (PBE-GGA)

Data for GdDyAg2 after structural relaxation.

V	24.09	A^3/atom
symmetry	P4/mmm (123)

a = 5.156 Å, b = 5.156 Å, c = 3.625 Å
α = 90.00°, β = 90.00°, γ = 90.00°
Sites, in units of the cell vectors:
Dy1 0.000 0.000 0.500
Ag1 0.500 0.000 0.000
Ag2 0.000 0.500 0.000
Gd1 0.500 0.500 0.500



3.
## Y3PaAs4 (PBE-GGA)

Data for Y3PaAs4 after structural relaxation.

V	24.54	A^3/atom
symmetry	Cmmm (65)

a = 7.111 Å, b = 7.111 Å, c = 4.117 Å
α = 90.00°, β = 90.00°, γ = 109.47°
Sites, in units of the cell vectors:
As1 0.247 0.753 0.000
As2 0.753 0.753 0.500
As3 0.753 0.247 0.000
As4 0.247 0.247 0.500
Y1 0.000 0.500 0.500
Y2 0.500 0.500 0.000
Y3 0.500 0.000 0.500
Pa1 0.000 0.000 0.000



4.
## ThUSb (PBE-GGA)

Data for ThUSb after structural relaxation.

V	31.54	A^3/atom
symmetry	F-43m (216)

a = 5.115 Å, b = 5.115 Å, c = 5.115 Å
α = 60.00°, β = 60.00°, γ = 60.00°
Sites, in units of the cell vectors:
Th1 0.750 0.750 0.750
Sb1 0.250 0.250 0.250
U1 0.000 0.000 0.000



5.
## BeZnFeSn (PBE-GGA)

Data for BeZnFeSn after structural relaxation.

offset from the most stable computed form	126.3	meV per atom
V	13.70	A^3/atom
symmetry	F-43m (216)

a = 4.263 Å, b = 4.263 Å, c = 4.263 Å
α = 60.00°, β = 60.00°, γ = 60.00°
Last column: magnetic moment on the atom in μB.
Sites, in units of the cell vectors:
Fe1 0.750 0.750 0.750  1.76
Zn1 0.000 0.000 0.000  -0.02
Sn1 0.250 0.250 0.250  0.00
Be1 0.500 0.500 0.500  -0.04



6.
## IrCl3 (PBE-GGA)

Data for IrCl3 after structural relaxation.

V	20.93	A^3/atom
symmetry	P321 (150)

a = 5.839 Å, b = 5.839 Å, c = 8.507 Å
α = 90.00°, β = 90.00°, γ = 120.00°
Sites, in units of the cell vectors:
Cl1 0.332 0.018 0.822
Cl2 0.666 0.000 0.500
Cl3 0.018 0.332 0.178
Cl4 0.668 0.686 0.178
Cl5 0.334 0.334 0.500
Cl6 0.982 0.314 0.822
Cl7 0.314 0.982 0.178
Cl8 0.686 0.668 0.822
Cl9 0.000 0.666 0.500
Ir1 0.333 0.667 0.338
Ir2 0.667 0.333 0.662
Ir3 0.000 0.000 0.000



7.
## InTcAgTeS2 (PBE-GGA)

Data for InTcAgTeS2 after structural relaxation.

V	22.52	A^3/atom
symmetry	Cmcm (63)

a = 8.038 Å, b = 8.038 Å, c = 10.400 Å
α = 90.00°, β = 90.00°, γ = 156.28°
Last column: magnetic moment on the atom in μB.
Sites, in units of the cell vectors:
S1 0.887 0.113 0.015  0.01
S2 0.887 0.113 0.485  0.01
S3 0.113 0.887 0.515  0.01
S4 0.113 0.887 0.985  0.01
Ag1 0.159 0.841 0.750  0.01
Ag2 0.841 0.159 0.250  0.01
Tc1 0.500 0.500 0.500  0.20
Tc2 0.500 0.500 0.000  0.23
Te1 0.532 0.468 0.250  0.01
Te2 0.468 0.532 0.750  0.01
In1 0.806 0.194 0.750  0.01
In2 0.194 0.806 0.250  0.01



8.
## LiTaAlIr (PBE-GGA)

Data for LiTaAlIr after structural relaxation.

offset from the most stable computed form	261.8	meV per atom
V	14.80	A^3/atom
symmetry	F-43m (216)

a = 4.375 Å, b = 4.375 Å, c = 4.375 Å
α = 60.00°, β = 60.00°, γ = 60.00°
Sites, in units of the cell vectors:
Ir1 0.000 0.000 0.000
Ta1 0.250 0.250 0.250
Al1 0.500 0.500 0.500
Li1 0.750 0.750 0.750



9.
## RbPrPtS3 (PBE-GGA)

Data for RbPrPtS3 after structural relaxation.

V	27.69	A^3/atom
symmetry	Cmcm (63)

a = 8.058 Å, b = 8.058 Å, c = 10.491 Å
α = 90.00°, β = 90.00°, γ = 150.80°
Sites, in units of the cell vectors:
Pt1 0.505 0.495 0.250
Pt2 0.495 0.505 0.750
S1 0.615 0.385 0.411
S2 0.385 0.615 0.589
S3 0.615 0.385 0.089
S4 0.918 0.082 0.250
S5 0.082 0.918 0.750
S6 0.385 0.615 0.911
Rb1 0.248 0.752 0.250
Rb2 0.752 0.248 0.750
Pr1 0.000 0.000 0.000
Pr2 0.000 0.000 0.500



10.
## PrOF2 (PBE-GGA)

Data for PrOF2 after structural relaxation.

V	11.89	A^3/atom
symmetry	Pca2_1 (29)

a = 5.380 Å, b = 6.934 Å, c = 5.098 Å
α = 90.00°, β = 90.00°, γ = 90.00°
Last column: magnetic moment on the atom in μB.
Sites, in units of the cell vectors:
O1 0.731 0.528 0.158  0.80
O2 0.269 0.472 0.658  0.80
O3 0.769 0.528 0.658  0.79
O4 0.231 0.472 0.158  0.79
Pr1 0.509 0.241 0.928  -0.01
Pr2 0.991 0.241 0.428  -0.01
Pr3 0.009 0.759 0.928  -0.01
Pr4 0.491 0.759 0.428  -0.01
F1 0.250 0.026 0.674  0.01
F2 0.052 0.757 0.422  0.04
F3 0.552 0.243 0.422  0.05
F4 0.448 0.757 0.922  0.05
F5 0.750 0.974 0.174  0.01
F6 0.250 0.026 0.174  0.01
F7 0.948 0.243 0.922  0.05
F8 0.750 0.974 0.674  0.01



11.
## ZrInAgPd (PBE-GGA)

Data for ZrInAgPd after structural relaxation.

offset from the most stable computed form	156.8	meV per atom
V	18.98	A^3/atom
symmetry	F-43m (216)

a = 4.753 Å, b = 4.753 Å, c = 4.753 Å
α = 60.00°, β = 60.00°, γ = 60.00°
Sites, in units of the cell vectors:
Zr1 0.750 0.750 0.750
In1 0.000 0.000 0.000
Ag1 0.500 0.500 0.500
Pd1 0.250 0.250 0.250



12.
## ZnReAsO (PBE-GGA)

Data for ZnReAsO after structural relaxation.

offset from the most stable computed form	0.0	meV per atom
V	14.88	A^3/atom
symmetry	Pmc2_1 (26)

a = 3.062 Å, b = 6.644 Å, c = 5.853 Å
α = 90.00°, β = 90.00°, γ = 90.00°
Sites, in units of the cell vectors:
O1 0.500 0.770 0.373
O2 0.500 0.230 0.873
Zn1 0.000 0.419 0.884
Zn2 0.000 0.581 0.384
As1 0.000 0.787 0.874
As2 0.000 0.213 0.374
Re1 0.500 0.000 0.623
Re2 0.500 0.000 0.123



13.
## PmPdW (PBE-GGA)

Data for PmPdW after structural relaxation.

offset from the most stable computed form	581.6	meV per atom
V	24.44	A^3/atom
symmetry	F-43m (216)

a = 4.698 Å, b = 4.698 Å, c = 4.698 Å
α = 60.00°, β = 60.00°, γ = 60.00°
Last column: magnetic moment on the atom in μB.
Sites, in units of the cell vectors:
Pd1 0.500 0.500 0.500  0.10
W1 0.000 0.000 0.000  2.09
Pm1 0.250 0.250 0.250  0.19



14.
## PrHoZn2Au4 (PBE-GGA)

Data for PrHoZn2Au4 after structural relaxation.

V	20.81	A^3/atom
symmetry	P4/mmm (123)

a = 4.902 Å, b = 4.902 Å, c = 6.929 Å
α = 90.00°, β = 90.00°, γ = 90.00°
Sites, in units of the cell vectors:
Au1 0.000 0.500 0.265
Au2 0.000 0.500 0.735
Au3 0.500 0.000 0.265
Au4 0.500 0.000 0.735
Zn1 0.000 0.000 0.000
Zn2 0.500 0.500 0.500
Ho1 0.000 0.000 0.500
Pr1 0.500 0.500 0.000



15.
## NbNiSnHg (PBE-GGA)

Data for NbNiSnHg after structural relaxation.

offset from the most stable computed form	0.0	meV per atom
V	18.22	A^3/atom
symmetry	F-43m (216)

a = 4.689 Å, b = 4.689 Å, c = 4.689 Å
α = 60.00°, β = 60.00°, γ = 60.00°
Sites, in units of the cell vectors:
Nb1 0.250 0.250 0.250
Ni1 0.750 0.750 0.750
Hg1 0.500 0.500 0.500
Sn1 0.000 0.000 0.000



16.
## SiTe2W6 (PBE-GGA)

Data for SiTe2W6 after structural relaxation.

V	19.53	A^3/atom
symmetry	Fm-3m (225)

a = 6.288 Å, b = 6.288 Å, c = 6.288 Å
α = 60.00°, β = 60.00°, γ = 60.00°
Sites, in units of the cell vectors:
Te1 0.750 0.750 0.750
Te2 0.250 0.250 0.250
W1 0.291 0.709 0.291
W2 0.291 0.709 0.709
W3 0.709 0.291 0.291
W4 0.291 0.291 0.709
W5 0.709 0.291 0.709
W6 0.709 0.709 0.291
Si1 0.000 0.000 0.000



17.
## KHo4ClO6 (PBE-GGA)

Data for KHo4ClO6 after structural relaxation.

V	27.09	A^3/atom
symmetry	P6/mmm (191)

a = 6.614 Å, b = 6.614 Å, c = 8.580 Å
α = 90.00°, β = 90.00°, γ = 120.00°
Sites, in units of the cell vectors:
Ho1 0.667 0.333 0.760
Ho2 0.333 0.667 0.240
Ho3 0.667 0.333 0.240
Ho4 0.333 0.667 0.760
O1 0.500 0.000 0.684
O2 0.500 0.500 0.316
O3 0.500 0.500 0.684
O4 0.500 0.000 0.316
O5 0.000 0.500 0.684
O6 0.000 0.500 0.316
Cl1 0.000 0.000 0.000
K1 0.000 0.000 0.500



18.
## KBiOs (PBE-GGA)

Data for KBiOs after structural relaxation.

offset from the most stable computed form	0.0	meV per atom
V	26.57	A^3/atom
symmetry	F-43m (216)

a = 4.831 Å, b = 4.831 Å, c = 4.831 Å
α = 60.00°, β = 60.00°, γ = 60.00°
Sites, in units of the cell vectors:
Bi1 0.250 0.250 0.250
K1 0.750 0.750 0.750
Os1 0.000 0.000 0.000



19.
## ScNbOs2 (PBE-GGA)

Data for ScNbOs2 after structural relaxation.

offset from the most stable computed form	13.9	meV per atom
V	16.39	A^3/atom
symmetry	P4/mmm (123)

a = 3.191 Å, b = 3.191 Å, c = 6.439 Å
α = 90.00°, β = 90.00°, γ = 90.00°
Sites, in units of the cell vectors:
Os1 0.500 0.500 0.241
Os2 0.500 0.500 0.759
Nb1 0.000 0.000 0.000
Sc1 0.000 0.000 0.500



20.
## AcReIr (PBE-GGA)

Data for AcReIr after structural relaxation.

V	23.61	A^3/atom
symmetry	F-43m (216)

a = 4.644 Å, b = 4.644 Å, c = 4.644 Å
α = 60.00°, β = 60.00°, γ = 60.00°
Sites, in units of the cell vectors:
Ir1 0.750 0.750 0.750
Ac1 0.250 0.250 0.250
Re1 0.000 0.000 0.000



21.
## LiFe2As (PBE-GGA)

Data for LiFe2As after structural relaxation.

V	11.47	A^3/atom
symmetry	Pm-3m (221)

a = 5.683 Å, b = 5.683 Å, c = 5.683 Å
α = 90.00°, β = 90.00°, γ = 90.00°
Last column: magnetic moment on the atom in μB.
Sites, in units of the cell vectors:
Fe1 0.760 0.240 0.240  0.77
Fe2 0.760 0.760 0.240  0.77
Fe3 0.760 0.760 0.760  0.78
Fe4 0.240 0.240 0.760  0.77
Fe5 0.760 0.240 0.760  0.77
Fe6 0.240 0.760 0.240  0.77
Fe7 0.240 0.240 0.240  0.78
Fe8 0.240 0.760 0.760  0.77
Li1 0.000 0.500 0.500  -0.02
Li2 0.500 0.000 0.500  -0.02
Li3 0.500 0.500 0.500  -0.03
Li4 0.500 0.500 0.000  -0.03
As1 0.000 0.000 0.000  -0.07
As2 0.500 0.000 0.000  -0.06
As3 0.000 0.000 0.500  -0.05
As4 0.000 0.500 0.000  -0.06



22.
## Ho3Pa2Fe (PBE-GGA)

Data for Ho3Pa2Fe after structural relaxation.

V	24.77	A^3/atom
symmetry	P-3m1 (164)

a = 3.335 Å, b = 3.335 Å, c = 15.424 Å
α = 90.00°, β = 90.00°, γ = 120.00°
Last column: magnetic moment on the atom in μB.
Sites, in units of the cell vectors:
Ho1 0.000 0.000 0.000  -0.03
Ho2 0.667 0.333 0.629  -0.19
Ho3 0.333 0.667 0.371  -0.19
Pa1 0.333 0.667 0.816  0.17
Pa2 0.667 0.333 0.184  0.17
Fe1 0.000 0.000 0.500  1.81



23.
## PmAlPO (PBE-GGA)

Data for PmAlPO after structural relaxation.

offset from the most stable computed form	718.7	meV per atom
V	19.69	A^3/atom
symmetry	P4/nmm (129)

a = 4.050 Å, b = 4.050 Å, c = 9.602 Å
α = 90.00°, β = 90.00°, γ = 90.00°
Sites, in units of the cell vectors:
P1 0.500 0.000 0.295
P2 0.000 0.500 0.705
Pm1 0.500 0.500 0.500
Pm2 0.000 0.000 0.500
O1 0.500 0.500 0.000
O2 0.000 0.000 0.000
Al1 0.000 0.500 0.943
Al2 0.500 0.000 0.057



24.
## KPmNd (PBE-GGA)

Data for KPmNd after structural relaxation.

V	45.95	A^3/atom
symmetry	F-43m (216)

a = 5.799 Å, b = 5.799 Å, c = 5.799 Å
α = 60.00°, β = 60.00°, γ = 60.00°
Last column: magnetic moment on the atom in μB.
Sites, in units of the cell vectors:
K1 0.000 0.000 0.000  0.04
Nd1 0.250 0.250 0.250  0.37
Pm1 0.750 0.750 0.750  0.39



25.
## BaBeBiIr (PBE-GGA)

Data for BaBeBiIr after structural relaxation.

offset from the most stable computed form	241.3	meV per atom
V	24.04	A^3/atom
symmetry	F-43m (216)

a = 5.142 Å, b = 5.142 Å, c = 5.142 Å
α = 60.00°, β = 60.00°, γ = 60.00°
Sites, in units of the cell vectors:
Bi1 0.500 0.500 0.500
Be1 0.750 0.750 0.750
Ba1 0.250 0.250 0.250
Ir1 0.000 0.000 0.000



Number 1: total energy -3.508 eV per atom. Number 2: total energy -4.051 eV per atom. Number 3: total energy -7.369 eV per atom. Number 4: total energy -6.984 eV per atom. Number 5: total energy -3.817 eV per atom. Number 6: total energy -3.837 eV per atom. Number 7: total energy -4.679 eV per atom. Number 8: total energy -7.005 eV per atom. Number 9: total energy -5.169 eV per atom. Number 10: total energy -6.365 eV per atom. Number 11: total energy -5.095 eV per atom. Number 12: total energy -6.189 eV per atom. Number 13: total energy -6.292 eV per atom. Number 14: total energy -3.721 eV per atom. Number 15: total energy -4.702 eV per atom. Number 16: total energy -9.086 eV per atom. Number 17: total energy -6.642 eV per atom. Number 18: total energy -4.328 eV per atom. Number 19: total energy -10.138 eV per atom. Number 20: total energy -7.667 eV per atom. Number 21: total energy -5.618 eV per atom. Number 22: total energy -6.578 eV per atom. Number 23: total energy -5.692 eV per atom. Number 24: total energy -2.378 eV per atom. Number 25: total energy -3.925 eV per atom.